Computed, not measured: a geometry-optimized AlReSiS2 structure at the PBE level of DFT.

Cell and atoms, written as CIF:
```
data_AlReSiS2
_chemical_formula_sum 'Al1 Re1 Si1 S2'
_space_group_name_H-M_alt 'P 1'
_space_group_IT_number 1
_space_group_name_Hall 'P 1'
_cell_length_a 4.4654
_cell_length_b 4.4654
_cell_length_c 5.3471
_cell_angle_alpha 90.00
_cell_angle_beta 90.00
_cell_angle_gamma 90.00
loop_
_atom_site_label
_atom_site_fract_x
_atom_site_fract_y
_atom_site_fract_z
Re1 0.0000 0.0000 0.0000
S1 0.0000 0.5000 0.0000
S2 0.5000 0.0000 0.0000
Si1 0.5000 0.5000 0.5000
Al1 0.0000 0.0000 0.5000
```

Output
spin magnetization: 0.00 μB per formula unit
E_form (uncorrected): 0.64 eV per atom
symmetry: P4/mmm, No. 123